First-principles (SCAN) data for a crystal of Li2CoSi2O6 relaxed with PBEsol, as listed in Alexandria.

```
Li2CoSi2O6
1.0
-3.126 -1.548 4.306
-0.371 -2.959 -4.671
6.835 -5.423 2.950
Li Co Si O
4 2 4 12
direct
0.730 0.391 0.382 Li
0.391 0.730 0.882 Li
0.609 0.270 0.118 Li
0.270 0.609 0.618 Li
0.751 0.249 0.750 Co
0.249 0.751 0.250 Co
0.797 0.861 0.135 Si
0.861 0.797 0.635 Si
0.139 0.203 0.365 Si
0.203 0.139 0.865 Si
0.878 0.122 0.250 O
0.122 0.878 0.750 O
0.000 0.000 0.000 O
0.000 0.000 0.500 O
0.858 0.627 0.206 O
0.627 0.858 0.706 O
0.373 0.142 0.294 O
0.142 0.373 0.794 O
0.480 0.760 0.089 O
0.760 0.480 0.589 O
0.240 0.520 0.411 O
0.520 0.240 0.911 O
```

Computed properties:
**M_tot**: 6.00 Bohr magnetons per cell
**Energy above the most stable polymorph in this dataset**: 47 meV per atom
**E**: -214.16 eV for the cell shown
**Energy relative to the elements, uncorrected**: -2.507 eV per atom